The following is a GGA-PBE calculation of an optimized crystal structure of Zn2Cd8Ag, from Alexandria via LeMat-Bulk.

The structure belongs to space group C2/m (No. 12); the cell edges are 7.613, 13.185 and 5.002 Å and the angles 90.00°, 108.56° and 90.00°. The asymmetric unit holds Zn at (0.000, 0.195, 0.000), Cd at (0.000, 0.278, 0.500), Cd at (0.110, 0.000, 0.296), Cd at (0.208, 0.383, 0.151) and Ag at (0.000, 0.500, 0.500).

As for the density of states at the Fermi level: 2.9 states/eV/f.u. The value obtained for the formation energy is 0.057 eV/atom.